Zr6Ga2Co | PBE | optimized geometry

Unit cell a=7.871 b=7.871 c=3.351 alpha=90.00 beta=90.00 gamma=120.00
Fractional positions:
Zr 0.250 0.000 0.000
Zr 0.750 0.750 0.000
Zr 0.000 0.250 0.000
Zr 0.000 0.596 0.500
Zr 0.404 0.404 0.500
Zr 0.596 0.000 0.500
Ga 0.333 0.667 0.000
Ga 0.667 0.333 0.000
Co 0.000 0.000 0.500

The total energy is -7.57 eV/atom. As for the crystal system: hexagonal. The density of states at the Fermi level is 1.06 states/eV per atom. The value obtained for the formation energy is -3.70 eV per formula unit. The symmetry is No. 189.